1.
The following is a DFT calculation (PBE) of crystalline LiTb2HoIn4 at its relaxed geometry.

Computed properties:
The electronic total energy comes out at -90.2 eV/cell. Its crystal system is trigonal. For the theoretical density, the calculation gives 7.73 g/cm3.

a b c (Å): 5.2059 5.2059 26.0639
angles (deg): 90.00 90.00 120.00
Space group R-3m (No. 166, hexagonal axes)
Asymmetric unit:
Li 0.0000 0.0000 0.0000 [3 per cell]
Tb 0.0000 0.0000 0.2540 [6 per cell]
Ho 0.0000 0.0000 0.5000 [3 per cell]
In 0.0000 0.0000 0.1234 [6 per cell]
In 0.0000 0.0000 0.3739 [6 per cell]

2.
The following is a DFT calculation (PBE) of crystalline TiNb2Os at its relaxed geometry.

Computed properties:
The electronic total energy comes out at -151.6 eV/cell. Its crystal system is tetragonal. The polymorph energy (0 for the lowest one) is 641 meV/atom. For the theoretical density, the calculation gives 9.58 g/cm3.

a b c (Å): 7.386 7.386 5.390
angles (deg): 90.00 90.00 90.00
Space group I-42d (No. 122)
Asymmetric unit:
Ti 0.000 0.000 0.000 [4 per cell]
Nb 0.222 0.250 0.625 [8 per cell]
Os 0.000 0.000 0.500 [4 per cell]